DFT (PBE with a Hubbard U) results for a relaxed Cs3CoO4 crystal.

abc: 8.368 10.452 8.488
angles: 90.00 90.00 90.00
Space group Pnma (No. 62)
Unique sites:
Cs 0.026 0.040 0.224 [8 per cell]
Cs 0.189 0.750 0.425 [4 per cell]
Co 0.230 0.750 0.990 [4 per cell]
O 0.043 0.750 0.082 [4 per cell]
O 0.189 0.102 0.540 [8 per cell]
O 0.237 0.750 0.782 [4 per cell]

Computed properties:
M_tot = 4.0 μB/f.u.
DFT total energy = -4.60 eV/atom